No. 1
Here is an optimized crystal structure of CaY2HPd from Alexandria. Energies are from PBE-GGA.

Structure (POSCAR):
```
CaY2HPd
1.0
4.617 0.000 0.000
0.000 4.617 0.000
0.000 0.000 5.064
Y H Ca Pd
2 1 1 1
direct
0.000 0.500 0.000
0.500 0.000 0.000
0.000 0.000 0.000
0.000 0.000 0.500
0.500 0.500 0.500
```

Properties
Total moment (μB per formula unit): 0.00
VASP energy (eV/atom): -4.970
Crystal system: tetragonal
Space group: P4/mmm

=====

No. 2
Here is an optimized crystal structure of CaYHPd2 from Alexandria. Energies are from PBE-GGA.

Structure (POSCAR):
```
CaYHPd2
1.0
-3.087 -1.567 3.124
0.684 -3.833 -1.248
3.407 -0.420 3.156
Y H Ca Pd
1 1 1 2
direct
0.500 0.500 0.500
0.000 0.000 0.000
0.000 0.500 0.000
0.000 0.000 0.500
0.500 0.000 0.000
```

Properties
Total moment (μB per formula unit): 0.00
VASP energy (eV/atom): -4.777
Crystal system: tetragonal
Space group: P4/mmm

=====

No. 3
Here is an optimized crystal structure of Ca2ZnHPd6 from Alexandria. Energies are from PBE-GGA.

Structure (POSCAR):
```
Ca2ZnHPd6
1.0
6.235 0.004 0.148
0.004 6.233 0.146
3.224 3.222 4.546
Ca Zn H Pd
2 1 1 6
direct
0.738 0.262 0.500
0.262 0.738 0.500
0.000 0.000 0.000
0.500 0.500 0.000
0.262 0.263 0.453
0.738 0.739 0.977
0.274 0.726 0.000
0.726 0.274 0.000
0.262 0.261 0.023
0.738 0.737 0.547
```

Properties
Total moment (μB per formula unit): 0.00
VASP energy (eV/atom): -4.474
Crystal system: monoclinic
Space group: C2/m